(1)
4
Lattice="3.544 0.000 0.000 0.000 3.544 0.000 0.000 0.000 3.544" Properties=species:S:1:pos:R:3 comment="GGA-PBE Co3As, optimized geometry" total_magnetization_mub_per_fu=0.00 energy_ev_per_atom=-6.525 space_group="Pm-3m (221)" dos_at_fermi_per_ev_atom=1.003 crystal_system=cubic ef_ev_per_atom=-0.033 pbc="T T T"
Co 0.000 0.000 1.772
Co 0.000 1.772 0.000
Co 1.772 0.000 0.000
As 1.772 1.772 1.772

---

(2)
12
Lattice="5.937 0.000 0.000 0.000 5.889 0.000 -2.629 0.000 5.387" Properties=species:S:1:pos:R:3 comment="GGA-PBE CoAs2, optimized geometry" total_magnetization_mub_per_fu=0.00 energy_ev_per_atom=-5.796 space_group="P2_1/c (14)" dos_at_fermi_per_ev_atom=0.000 crystal_system=monoclinic ef_ev_per_atom=-0.328 pbc="T T T"
Co 0.791 0.003 1.153
Co -0.524 2.941 3.846
Co 3.832 2.948 1.541
Co 2.517 5.885 4.234
As -1.237 0.800 4.445
As 0.077 2.144 1.751
As 1.712 3.734 0.710
As 0.398 5.099 3.403
As 2.910 0.789 1.983
As 1.596 2.155 4.677
As 3.231 3.744 3.635
As 4.545 5.089 0.942

---

(3)
4
Lattice="-1.457 2.003 4.016 1.457 -2.003 4.016 1.457 2.003 -4.016" Properties=species:S:1:pos:R:3 comment="GGA-PBE Co3As, optimized geometry" total_magnetization_mub_per_fu=3.53 energy_ev_per_atom=-6.435 space_group="Immm (71)" dos_at_fermi_per_ev_atom=1.188 crystal_system=orthorhombic ef_ev_per_atom=0.057 pbc="T T T"
Co 0.000 0.000 0.000
Co 1.457 0.000 2.174
Co 0.000 2.003 1.842
As 0.000 0.000 4.016